# 1
Computed, not measured: an optimized crystal structure of DyYB4N at the PBE level of DFT.

Output
crystal system = orthorhombic
spin magnetization = 0.00 Bohr magnetons per cell

Lattice parameters (Å, degrees): 5.2084 5.2084 5.2084 143.58 103.70 87.62
Atoms (fractional coordinates):
B  0.6390  0.4999  0.1391
B  0.2281  0.0000  0.2281
B  0.7719  0.0000  0.7719
Y  0.7662  0.2662  0.5000
B  0.3608  0.4999  0.8609
Dy  0.2337  0.7337  0.5000
N  0.0003  0.0003  0.0000

=====

# 2
Computed, not measured: an optimized crystal structure of DyYBN2 at the PBE level of DFT.

Output
crystal system = monoclinic
spin magnetization = 0.00 Bohr magnetons per cell

Lattice parameters (Å, degrees): 3.4761 3.4761 5.9723 106.83 106.83 89.99
Atoms (fractional coordinates):
B  0.0001  0.0001  0.9999
Dy  0.6497  0.6497  0.2964
N  0.8640  0.8640  0.7308
Y  0.3506  0.3506  0.7041
N  0.1357  0.1357  0.2688

=====

# 3
Computed, not measured: an optimized crystal structure of NaDyB at the PBE level of DFT.

Output
crystal system = cubic
spin magnetization = 0.02 Bohr magnetons per cell

Lattice parameters (Å, degrees): 4.4228 4.4228 4.4228 60.00 60.00 60.00
Atoms (fractional coordinates):
B  0.0000  0.0000  0.0000
Dy  0.2500  0.2500  0.2500
Na  0.7500  0.7500  0.7500

=====

no.,VASP energy (eV/atom)
1,-7.404
2,-7.953
3,-3.696